*1*
# PBE BeGeS, relaxed
# Magnetic moment   0.0 μB/f.u.
# V   18.114 Å³/atom
data_BeGeS
_chemical_formula_sum 'Be2 Ge2 S2'
_symmetry_space_group_name_H-M 'C 1 m 1'
_symmetry_Int_Tables_number 8
_symmetry_space_group_name_Hall 'C -2y'
_cell_length_a 5.7563
_cell_length_b 3.3189
_cell_length_c 5.6891
_cell_angle_alpha 90.00
_cell_angle_beta 90.51
_cell_angle_gamma 90.00
loop_
_atom_site_label
_atom_site_fract_x
_atom_site_fract_y
_atom_site_fract_z
_atom_site_occupancy
Be1 0.0000 0.0000 0.0000 1
Ge1 0.1677 0.5000 0.3384 1
S1 0.1657 0.5000 0.8746 1

*2*
# PBE BeGeS, relaxed
# Magnetic moment   0.0 μB/f.u.
# V   18.210 Å³/atom
data_BeGeS
_chemical_formula_sum 'Be4 Ge4 S4'
_symmetry_space_group_name_H-M 'C 1 c 1'
_symmetry_Int_Tables_number 9
_symmetry_space_group_name_Hall 'C -2yc'
_cell_length_a 4.8297
_cell_length_b 12.7714
_cell_length_c 3.6454
_cell_angle_alpha 90.00
_cell_angle_beta 103.64
_cell_angle_gamma 90.00
loop_
_atom_site_label
_atom_site_fract_x
_atom_site_fract_y
_atom_site_fract_z
_atom_site_occupancy
Be1 0.0000 0.1835 0.0000 1
Ge1 0.1496 0.4390 0.2696 1
S1 0.2542 0.1811 0.5664 1

*3*
# PBE BeGeS, relaxed
# Magnetic moment   0.0 μB/f.u.
# V   18.870 Å³/atom
data_BeGeS
_chemical_formula_sum 'Be2 Ge2 S2'
_symmetry_space_group_name_H-M 'P 1 m 1'
_symmetry_Int_Tables_number 6
_symmetry_space_group_name_Hall 'P -2y'
_cell_length_a 5.8423
_cell_length_b 3.5004
_cell_length_c 5.9670
_cell_angle_alpha 90.00
_cell_angle_beta 111.90
_cell_angle_gamma 90.00
loop_
_atom_site_label
_atom_site_fract_x
_atom_site_fract_y
_atom_site_fract_z
_atom_site_occupancy
Be1 0.0000 0.0000 0.0000 1
Be2 0.2056 0.5000 0.5741 1
Ge1 0.5500 0.5000 0.3748 1
Ge2 0.6011 0.0000 0.7079 1
S1 0.0927 0.5000 0.2033 1
S2 0.1537 0.0000 0.7307 1

Decreasing stability: *2*, *3*, *1*

*1*
# PBE BeGeS, relaxed
# Magnetic moment   0.0 μB/f.u.
# V   17.483 Å³/atom
data_BeGeS
_chemical_formula_sum 'Be4 Ge4 S4'
_symmetry_space_group_name_H-M 'C 1 2 1'
_symmetry_Int_Tables_number 5
_symmetry_space_group_name_Hall 'C 2y'
_cell_length_a 11.0708
_cell_length_b 5.7438
_cell_length_c 3.2993
_cell_angle_alpha 90.00
_cell_angle_beta 90.04
_cell_angle_gamma 90.00
loop_
_atom_site_label
_atom_site_fract_x
_atom_site_fract_y
_atom_site_fract_z
_atom_site_occupancy
Be1 0.2011 0.0000 0.2143 1
Ge1 0.0000 0.1155 0.0000 1
Ge2 0.0000 0.4863 0.5000 1
S1 0.2153 0.6403 0.2852 1

*2*
# PBE BeGeS, relaxed
# Magnetic moment   0.0 μB/f.u.
# V   17.887 Å³/atom
data_BeGeS
_chemical_formula_sum 'Be6 Ge6 S6'
_symmetry_space_group_name_H-M 'R 3 m'
_symmetry_Int_Tables_number 160
_symmetry_space_group_name_Hall 'R 3 -2"'
_cell_length_a 3.7016
_cell_length_b 3.7016
_cell_length_c 27.1329
_cell_angle_alpha 90.00
_cell_angle_beta 90.00
_cell_angle_gamma 120.00
loop_
_atom_site_label
_atom_site_fract_x
_atom_site_fract_y
_atom_site_fract_z
_atom_site_occupancy
Be1 0.0000 0.0000 0.0000 1
Be2 0.0000 0.0000 0.2325 1
Ge1 0.0000 0.0000 0.1476 1
Ge2 0.0000 0.0000 0.7785 1
S1 0.0000 0.0000 0.6902 1
S2 0.0000 0.0000 0.9233 1

*3*
# PBE BeGeS, relaxed
# Magnetic moment   0.0 μB/f.u.
# V   18.649 Å³/atom
data_BeGeS
_chemical_formula_sum 'Be4 Ge4 S4'
_symmetry_space_group_name_H-M 'C 1 m 1'
_symmetry_Int_Tables_number 8
_symmetry_space_group_name_Hall 'C -2y'
_cell_length_a 10.5427
_cell_length_b 3.6636
_cell_length_c 5.9344
_cell_angle_alpha 90.00
_cell_angle_beta 102.49
_cell_angle_gamma 90.00
loop_
_atom_site_label
_atom_site_fract_x
_atom_site_fract_y
_atom_site_fract_z
_atom_site_occupancy
Be1 0.0000 0.0000 0.0000 1
Be2 0.0178 0.5000 0.5078 1
Ge1 0.2903 0.5000 0.0498 1
Ge2 0.3010 0.0000 0.3170 1
S1 0.0626 0.5000 0.8658 1
S2 0.0824 0.0000 0.3693 1

Decreasing stability: *2*, *3*, *1*

*1*
# PBE BeGeS, relaxed
# Magnetic moment   0.0 μB/f.u.
# V   18.355 Å³/atom
data_BeGeS
_chemical_formula_sum 'Be4 Ge4 S4'
_symmetry_space_group_name_H-M 'C 1 m 1'
_symmetry_Int_Tables_number 8
_symmetry_space_group_name_Hall 'C -2y'
_cell_length_a 15.3235
_cell_length_b 3.4206
_cell_length_c 4.3687
_cell_angle_alpha 90.00
_cell_angle_beta 105.87
_cell_angle_gamma 90.00
loop_
_atom_site_label
_atom_site_fract_x
_atom_site_fract_y
_atom_site_fract_z
_atom_site_occupancy
Be1 0.0000 0.0000 0.0000 1
Be2 0.0975 0.5000 0.6440 1
Ge1 0.3060 0.0000 0.1435 1
Ge2 0.3464 0.5000 0.6723 1
S1 0.1300 0.0000 0.8896 1
S2 0.4939 0.0000 0.2546 1

*2*
# PBE BeGeS, relaxed
# Magnetic moment   0.0 μB/f.u.
# V   19.013 Å³/atom
data_BeGeS
_chemical_formula_sum 'Be2 Ge2 S2'
_symmetry_space_group_name_H-M 'P -1'
_symmetry_Int_Tables_number 2
_symmetry_space_group_name_Hall '-P 1'
_cell_length_a 3.4388
_cell_length_b 3.4816
_cell_length_c 11.1203
_cell_angle_alpha 81.34
_cell_angle_beta 81.42
_cell_angle_gamma 60.46
loop_
_atom_site_label
_atom_site_fract_x
_atom_site_fract_y
_atom_site_fract_z
_atom_site_occupancy
Be1 0.2251 0.2403 0.3064 1
Ge1 0.3123 0.3028 0.0750 1
S1 0.1165 0.1067 0.6628 1

Decreasing stability: *2*, *1*

*1*
# PBE BeGe3Sb, relaxed
# Magnetic moment   0.0 μB/f.u.
# V   19.768 Å³/atom
data_BeGe3Sb
_chemical_formula_sum 'Be1 Ge3 Sb1'
_symmetry_space_group_name_H-M 'P m -3 m'
_symmetry_Int_Tables_number 221
_symmetry_space_group_name_Hall '-P 4 2 3'
_cell_length_a 4.6236
_cell_length_b 4.6236
_cell_length_c 4.6236
_cell_angle_alpha 90.00
_cell_angle_beta 90.00
_cell_angle_gamma 90.00
loop_
_atom_site_label
_atom_site_fract_x
_atom_site_fract_y
_atom_site_fract_z
_atom_site_occupancy
Be1 0.0000 0.0000 0.0000 1
Ge1 0.0000 0.0000 0.5000 1
Sb1 0.5000 0.5000 0.5000 1

*2*
# PBE BeGe3Sb, relaxed
# Magnetic moment   0.0 μB/f.u.
# V   30.423 Å³/atom
data_BeGe3Sb
_chemical_formula_sum 'Be1 Ge3 Sb1'
_symmetry_space_group_name_H-M 'P m -3 m'
_symmetry_Int_Tables_number 221
_symmetry_space_group_name_Hall '-P 4 2 3'
_cell_length_a 5.3381
_cell_length_b 5.3381
_cell_length_c 5.3381
_cell_angle_alpha 90.00
_cell_angle_beta 90.00
_cell_angle_gamma 90.00
loop_
_atom_site_label
_atom_site_fract_x
_atom_site_fract_y
_atom_site_fract_z
_atom_site_occupancy
Be1 0.0000 0.0000 0.0000 1
Ge1 0.0000 0.5000 0.5000 1
Sb1 0.5000 0.5000 0.5000 1

Decreasing stability: *1*, *2*

*1*
# PBE BeGe2Sb, relaxed
# Magnetic moment   0.0 μB/f.u.
# V   19.461 Å³/atom
data_BeGe2Sb
_chemical_formula_sum 'Be4 Ge8 Sb4'
_symmetry_space_group_name_H-M 'F m -3 m'
_symmetry_Int_Tables_number 225
_symmetry_space_group_name_Hall '-F 4 2 3'
_cell_length_a 6.7778
_cell_length_b 6.7778
_cell_length_c 6.7778
_cell_angle_alpha 90.00
_cell_angle_beta 90.00
_cell_angle_gamma 90.00
loop_
_atom_site_label
_atom_site_fract_x
_atom_site_fract_y
_atom_site_fract_z
_atom_site_occupancy
Be1 0.0000 0.0000 0.0000 1
Ge1 0.2500 0.2500 0.2500 1
Sb1 0.0000 0.0000 0.5000 1

*2*
# PBE BeGe2Sb, relaxed
# Magnetic moment   0.0 μB/f.u.
# V   23.093 Å³/atom
data_BeGe2Sb
_chemical_formula_sum 'Be4 Ge8 Sb4'
_symmetry_space_group_name_H-M 'I -4 2 d'
_symmetry_Int_Tables_number 122
_symmetry_space_group_name_Hall 'I -4 2bw'
_cell_length_a 5.6267
_cell_length_b 5.6267
_cell_length_c 11.6707
_cell_angle_alpha 90.00
_cell_angle_beta 90.00
_cell_angle_gamma 90.00
loop_
_atom_site_label
_atom_site_fract_x
_atom_site_fract_y
_atom_site_fract_z
_atom_site_occupancy
Be1 0.0000 0.0000 0.0000 1
Ge1 0.1823 0.2500 0.1250 1
Sb1 0.0000 0.0000 0.5000 1

Decreasing stability: *2*, *1*

*1*
# PBE Be2GeSb, relaxed
# Magnetic moment   0.0 μB/f.u.
# V   19.906 Å³/atom
data_Be2GeSb
_chemical_formula_sum 'Be8 Ge4 Sb4'
_symmetry_space_group_name_H-M 'I -4 2 d'
_symmetry_Int_Tables_number 122
_symmetry_space_group_name_Hall 'I -4 2bw'
_cell_length_a 5.7385
_cell_length_b 5.7385
_cell_length_c 9.6717
_cell_angle_alpha 90.00
_cell_angle_beta 90.00
_cell_angle_gamma 90.00
loop_
_atom_site_label
_atom_site_fract_x
_atom_site_fract_y
_atom_site_fract_z
_atom_site_occupancy
Be1 0.2320 0.2500 0.1250 1
Ge1 0.0000 0.0000 0.0000 1
Sb1 0.0000 0.0000 0.5000 1

*2*
# PBE Be2GeSb, relaxed
# Magnetic moment   0.0 μB/f.u.
# V   16.308 Å³/atom
data_Be2GeSb
_chemical_formula_sum 'Be8 Ge4 Sb4'
_symmetry_space_group_name_H-M 'F m -3 m'
_symmetry_Int_Tables_number 225
_symmetry_space_group_name_Hall '-F 4 2 3'
_cell_length_a 6.3901
_cell_length_b 6.3901
_cell_length_c 6.3901
_cell_angle_alpha 90.00
_cell_angle_beta 90.00
_cell_angle_gamma 90.00
loop_
_atom_site_label
_atom_site_fract_x
_atom_site_fract_y
_atom_site_fract_z
_atom_site_occupancy
Be1 0.2500 0.2500 0.2500 1
Ge1 0.0000 0.0000 0.0000 1
Sb1 0.0000 0.0000 0.5000 1

Decreasing stability: *1*, *2*

*1*
# PBE BeGeSb2Te, relaxed
# Magnetic moment   0.0 μB/f.u.
# V   30.632 Å³/atom
data_BeGeSb2Te
_chemical_formula_sum 'Be1 Ge1 Sb2 Te1'
_symmetry_space_group_name_H-M 'P 4/m m m'
_symmetry_Int_Tables_number 123
_symmetry_space_group_name_Hall '-P 4 2'
_cell_length_a 5.3606
_cell_length_b 5.3606
_cell_length_c 5.3300
_cell_angle_alpha 90.00
_cell_angle_beta 90.00
_cell_angle_gamma 90.00
loop_
_atom_site_label
_atom_site_fract_x
_atom_site_fract_y
_atom_site_fract_z
_atom_site_occupancy
Be1 0.0000 0.0000 0.0000 1
Ge1 0.5000 0.5000 0.5000 1
Sb1 0.0000 0.5000 0.5000 1
Te1 0.5000 0.5000 0.0000 1

*2*
# PBE BeGeSb2Te, relaxed
# Magnetic moment   0.0 μB/f.u.
# V   24.568 Å³/atom
data_BeGeSb2Te
_chemical_formula_sum 'Be1 Ge1 Sb2 Te1'
_symmetry_space_group_name_H-M 'P 4/m m m'
_symmetry_Int_Tables_number 123
_symmetry_space_group_name_Hall '-P 4 2'
_cell_length_a 4.8658
_cell_length_b 4.8658
_cell_length_c 5.1883
_cell_angle_alpha 90.00
_cell_angle_beta 90.00
_cell_angle_gamma 90.00
loop_
_atom_site_label
_atom_site_fract_x
_atom_site_fract_y
_atom_site_fract_z
_atom_site_occupancy
Be1 0.0000 0.0000 0.0000 1
Ge1 0.5000 0.5000 0.5000 1
Sb1 0.0000 0.5000 0.0000 1
Te1 0.0000 0.0000 0.5000 1

Decreasing stability: *2*, *1*

*1*
# PBE Sc2BeGe, relaxed
# Magnetic moment   0.0 μB/f.u.
# V   20.558 Å³/atom
data_Sc2BeGe
_chemical_formula_sum 'Sc6 Be3 Ge3'
_symmetry_space_group_name_H-M 'R -3 m'
_symmetry_Int_Tables_number 166
_symmetry_space_group_name_Hall '-R 3 2"'
_cell_length_a 3.1903
_cell_length_b 3.1903
_cell_length_c 27.9884
_cell_angle_alpha 90.00
_cell_angle_beta 90.00
_cell_angle_gamma 120.00
loop_
_atom_site_label
_atom_site_fract_x
_atom_site_fract_y
_atom_site_fract_z
_atom_site_occupancy
Sc1 0.0000 0.0000 0.0985 1
Be1 0.0000 0.0000 0.5000 1
Ge1 0.0000 0.0000 0.0000 1

*2*
# PBE Sc2BeGe, relaxed
# Magnetic moment   0.0 μB/f.u.
# V   17.066 Å³/atom
data_Sc2BeGe
_chemical_formula_sum 'Sc8 Be4 Ge4'
_symmetry_space_group_name_H-M 'F m -3 m'
_symmetry_Int_Tables_number 225
_symmetry_space_group_name_Hall '-F 4 2 3'
_cell_length_a 6.4876
_cell_length_b 6.4876
_cell_length_c 6.4876
_cell_angle_alpha 90.00
_cell_angle_beta 90.00
_cell_angle_gamma 90.00
loop_
_atom_site_label
_atom_site_fract_x
_atom_site_fract_y
_atom_site_fract_z
_atom_site_occupancy
Sc1 0.2500 0.2500 0.2500 1
Be1 0.0000 0.0000 0.0000 1
Ge1 0.0000 0.0000 0.5000 1

Decreasing stability: *2*, *1*

*1*
# PBE BeGeSe, relaxed
# Magnetic moment   0.0 μB/f.u.
# V   21.085 Å³/atom
data_BeGeSe
_chemical_formula_sum 'Be4 Ge4 Se4'
_symmetry_space_group_name_H-M 'C 1 m 1'
_symmetry_Int_Tables_number 8
_symmetry_space_group_name_Hall 'C -2y'
_cell_length_a 10.8490
_cell_length_b 3.8025
_cell_length_c 6.3226
_cell_angle_alpha 90.00
_cell_angle_beta 104.05
_cell_angle_gamma 90.00
loop_
_atom_site_label
_atom_site_fract_x
_atom_site_fract_y
_atom_site_fract_z
_atom_site_occupancy
Be1 0.0000 0.0000 0.0000 1
Be2 0.0241 0.5000 0.5035 1
Ge1 0.3006 0.5000 0.0592 1
Ge2 0.3156 0.0000 0.3049 1
Se1 0.0658 0.5000 0.8638 1
Se2 0.0956 0.0000 0.3695 1

*2*
# PBE BeGeSe, relaxed
# Magnetic moment   0.0 μB/f.u.
# V   22.036 Å³/atom
data_BeGeSe
_chemical_formula_sum 'Be2 Ge2 Se2'
_symmetry_space_group_name_H-M 'P 1 m 1'
_symmetry_Int_Tables_number 6
_symmetry_space_group_name_Hall 'P -2y'
_cell_length_a 6.0015
_cell_length_b 3.6363
_cell_length_c 6.0941
_cell_angle_alpha 90.00
_cell_angle_beta 96.20
_cell_angle_gamma 90.00
loop_
_atom_site_label
_atom_site_fract_x
_atom_site_fract_y
_atom_site_fract_z
_atom_site_occupancy
Be1 0.0000 0.0000 0.0000 1
Be2 0.0686 0.5000 0.5633 1
Ge1 0.3165 0.5000 0.8795 1
Ge2 0.4217 0.0000 0.1766 1
Se1 0.0424 0.0000 0.3612 1
Se2 0.8420 0.5000 0.8383 1

*3*
# PBE BeGeSe, relaxed
# Magnetic moment   0.0 μB/f.u.
# V   21.889 Å³/atom
data_BeGeSe
_chemical_formula_sum 'Be2 Ge2 Se2'
_symmetry_space_group_name_H-M 'P 1 21/m 1'
_symmetry_Int_Tables_number 11
_symmetry_space_group_name_Hall '-P 2yb'
_cell_length_a 5.7535
_cell_length_b 3.8269
_cell_length_c 5.9680
_cell_angle_alpha 90.00
_cell_angle_beta 91.84
_cell_angle_gamma 90.00
loop_
_atom_site_label
_atom_site_fract_x
_atom_site_fract_y
_atom_site_fract_z
_atom_site_occupancy
Be1 0.1866 0.2500 0.3979 1
Ge1 0.4374 0.2500 0.1127 1
Se1 0.2139 0.7500 0.6092 1

Decreasing stability: *1*, *3*, *2*

*1*
# PBE BeGeSe, relaxed
# Magnetic moment   0.0 μB/f.u.
# V   21.354 Å³/atom
data_BeGeSe
_chemical_formula_sum 'Be4 Ge4 Se4'
_symmetry_space_group_name_H-M 'C 1 2/m 1'
_symmetry_Int_Tables_number 12
_symmetry_space_group_name_Hall '-C 2y'
_cell_length_a 10.4997
_cell_length_b 3.8355
_cell_length_c 8.2432
_cell_angle_alpha 90.00
_cell_angle_beta 129.47
_cell_angle_gamma 90.00
loop_
_atom_site_label
_atom_site_fract_x
_atom_site_fract_y
_atom_site_fract_z
_atom_site_occupancy
Be1 0.1155 0.0000 0.3338 1
Ge1 0.1646 0.0000 0.8879 1
Se1 0.2225 0.5000 0.3096 1

*2*
# PBE BeGeSe, relaxed
# Magnetic moment   0.0 μB/f.u.
# V   21.338 Å³/atom
data_BeGeSe
_chemical_formula_sum 'Be4 Ge4 Se4'
_symmetry_space_group_name_H-M 'C 1 2/m 1'
_symmetry_Int_Tables_number 12
_symmetry_space_group_name_Hall '-C 2y'
_cell_length_a 11.7856
_cell_length_b 3.7775
_cell_length_c 6.0462
_cell_angle_alpha 90.00
_cell_angle_beta 107.96
_cell_angle_gamma 90.00
loop_
_atom_site_label
_atom_site_fract_x
_atom_site_fract_y
_atom_site_fract_z
_atom_site_occupancy
Be1 0.2382 0.0000 0.3270 1
Ge1 0.1844 0.0000 0.8579 1
Se1 0.1247 0.5000 0.3185 1

Decreasing stability: *1*, *2*

*1*
# PBE BeGeSe3, relaxed
# Magnetic moment   0.0 μB/f.u.
# V   24.495 Å³/atom
data_BeGeSe3
_chemical_formula_sum 'Be1 Ge1 Se3'
_symmetry_space_group_name_H-M 'P m -3 m'
_symmetry_Int_Tables_number 221
_symmetry_space_group_name_Hall '-P 4 2 3'
_cell_length_a 4.9661
_cell_length_b 4.9661
_cell_length_c 4.9661
_cell_angle_alpha 90.00
_cell_angle_beta 90.00
_cell_angle_gamma 90.00
loop_
_atom_site_label
_atom_site_fract_x
_atom_site_fract_y
_atom_site_fract_z
_atom_site_occupancy
Be1 0.0000 0.0000 0.0000 1
Ge1 0.5000 0.5000 0.5000 1
Se1 0.0000 0.5000 0.5000 1

*2*
# PBE BeGeSe3, relaxed
# Magnetic moment   0.0 μB/f.u.
# V   19.817 Å³/atom
data_BeGeSe3
_chemical_formula_sum 'Be1 Ge1 Se3'
_symmetry_space_group_name_H-M 'P m -3 m'
_symmetry_Int_Tables_number 221
_symmetry_space_group_name_Hall '-P 4 2 3'
_cell_length_a 4.6274
_cell_length_b 4.6274
_cell_length_c 4.6274
_cell_angle_alpha 90.00
_cell_angle_beta 90.00
_cell_angle_gamma 90.00
loop_
_atom_site_label
_atom_site_fract_x
_atom_site_fract_y
_atom_site_fract_z
_atom_site_occupancy
Be1 0.0000 0.0000 0.0000 1
Ge1 0.5000 0.5000 0.5000 1
Se1 0.0000 0.0000 0.5000 1

Decreasing stability: *2*, *1*